# K3Na3Pb8 (PBE, relaxed)
# - DFT formation energy: -0.127 eV per atom
data_K3Na3Pb8
_cell_length_a 5.197
_cell_length_b 10.413
_cell_length_c 10.413
_cell_angle_alpha 66.89
_cell_angle_beta 75.55
_cell_angle_gamma 75.55
_space_group_name_H-M_alt 'P 1'
_space_group_IT_number 1
_space_group_name_Hall 'P 1'
loop_
_atom_site_label
_atom_site_fract_x
_atom_site_fract_y
_atom_site_fract_z
_atom_site_occupancy
Pb1 0.185 0.460 0.171 1
Pb2 0.623 0.094 0.659 1
K1 0.199 0.801 0.801 1
Na1 0.000 0.233 0.767 1
Pb3 0.815 0.829 0.540 1
K2 0.500 0.500 0.500 1
Pb4 0.377 0.906 0.341 1
Na2 0.000 0.767 0.233 1
K3 0.801 0.199 0.199 1
Na3 0.500 0.000 0.000 1
Pb5 0.377 0.341 0.906 1
Pb6 0.185 0.171 0.460 1
Pb7 0.623 0.659 0.094 1
Pb8 0.815 0.540 0.829 1